CrCdInMo2, relaxed, DFT PBE-GGA; total moment = 0.01 μB/f.u.; calculated density = 7.01 Mg/m³; energy of formation from the pure elements = 2.258 eV per atom; space-group type = No. 123; total energy = -23.7 eV per cell
1.0
-1.808 -4.268 1.602
2.805 -2.281 -2.911
3.464 -0.166 3.468
Cr Mo Cd In
1 2 1 1
direct
0.000 0.500 0.000 Cr
0.000 0.000 0.500 Mo
0.500 0.000 0.000 Mo
0.000 0.000 0.000 Cd
0.500 0.500 0.500 In